# La2PmNdSm6 (GGA-PBE, optimized geometry)
# Volume ... 34.9 Å³/atom
# DFT formation energy ... 114 meV/atom
data_La2PmNdSm6
_cell_length_a 8.8865
_cell_length_b 8.8865
_cell_length_c 10.1621
_cell_angle_alpha 95.37
_cell_angle_beta 95.37
_cell_angle_gamma 117.79
_space_group_name_H-M_alt 'P 1'
_space_group_IT_number 1
loop_
_space_group_symop_operation_xyz
'x,y,z'
loop_
_atom_site_label
_atom_site_type_symbol
_atom_site_fract_x
_atom_site_fract_y
_atom_site_fract_z
La1 La 0.1887 0.2849 0.0401
La2 La 0.2849 0.1887 0.5401
La3 La 0.7151 0.8113 0.4599
La4 La 0.8113 0.7151 0.9599
Pm1 Pm 0.4043 0.5957 0.7500
Pm2 Pm 0.5957 0.4043 0.2500
Nd1 Nd 0.0107 0.9893 0.2500
Nd2 Nd 0.9893 0.0107 0.7500
Sm1 Sm 0.0222 0.5796 0.1885
Sm2 Sm 0.1187 0.7351 0.5562
Sm3 Sm 0.2649 0.8813 0.9438
Sm4 Sm 0.2994 0.5058 0.3791
Sm5 Sm 0.4204 0.9778 0.3115
Sm6 Sm 0.4942 0.7006 0.1209
Sm7 Sm 0.5058 0.2994 0.8791
Sm8 Sm 0.5796 0.0222 0.6885
Sm9 Sm 0.7006 0.4942 0.6209
Sm10 Sm 0.7351 0.1187 0.0562
Sm11 Sm 0.8813 0.2649 0.4438
Sm12 Sm 0.9778 0.4204 0.8115


# Fe2HgW (GGA-PBE, optimized geometry)
# Volume ... 14.7 Å³/atom
# DFT formation energy ... 506 meV/atom
data_Fe2HgW
_cell_length_a 9.4708
_cell_length_b 2.8851
_cell_length_c 4.5548
_cell_angle_alpha 90.00
_cell_angle_beta 108.61
_cell_angle_gamma 90.00
_space_group_name_H-M_alt 'P 1'
_space_group_IT_number 1
loop_
_space_group_symop_operation_xyz
'x,y,z'
loop_
_atom_site_label
_atom_site_type_symbol
_atom_site_fract_x
_atom_site_fract_y
_atom_site_fract_z
Fe1 Fe 0.0000 0.0000 0.0000
Fe2 Fe 0.2102 0.5000 0.2612
Fe3 Fe 0.5000 0.5000 0.0000
Fe4 Fe 0.7102 0.0000 0.2612
Hg1 Hg 0.2414 0.0000 0.7837
Hg2 Hg 0.7414 0.5000 0.7837
W1 W 0.4630 0.0000 0.4550
W2 W 0.9630 0.5000 0.4550


no.,total moment (μB/f.u.)
1,0.000
2,3.739